No. 1
SCAN Cu2SiPt, single point on PBEsol structure; formation energy without anion corrections = -0.2886 eV per atom
1.0
4.247 -1.498 0.000
4.247 1.498 0.000
-1.427 0.000 4.003
Cu Si Pt
2 1 1
Direct
0.000 0.000 0.000 Cu
0.244 0.244 0.829 Cu
0.517 0.517 0.500 Si
0.779 0.779 0.352 Pt


No. 2
SCAN SmGe2Ir2, single point on PBEsol structure; formation enthalpy at 0 K = -93.3 kJ/mol of atoms
1.0
4.205 0.000 0.000
0.000 4.205 0.000
0.000 0.000 10.046
Sm Ge Ir
2 4 4
Direct
0.250 0.250 0.246 Sm
0.750 0.750 0.754 Sm
0.250 0.250 0.632 Ge
0.250 0.750 0.000 Ge
0.750 0.250 0.000 Ge
0.750 0.750 0.368 Ge
0.250 0.250 0.871 Ir
0.250 0.750 0.500 Ir
0.750 0.250 0.500 Ir
0.750 0.750 0.129 Ir


No. 3
SCAN K3FeSb, single point on PBEsol structure; formation energy without anion corrections = 0.6634 eV per atom
1.0
5.945 0.000 0.000
0.000 5.945 0.000
0.000 0.000 5.945
K Fe Sb
3 1 1
Direct
0.000 0.000 0.500 K
0.000 0.500 0.000 K
0.500 0.000 0.000 K
0.000 0.000 0.000 Fe
0.500 0.500 0.500 Sb


No. 4
SCAN MgAsS2, single point on PBEsol structure; formation energy without anion corrections = -0.4629 eV per atom
1.0
-2.603 2.603 6.773
2.603 -2.603 6.773
2.603 2.603 -6.773
Mg As S
2 2 4
Direct
0.000 0.000 0.000 Mg
0.750 0.250 0.500 Mg
0.250 0.750 0.500 As
0.500 0.500 0.000 As
0.127 0.625 0.002 S
0.375 0.377 0.502 S
0.623 0.125 0.998 S
0.875 0.873 0.498 S


No. 5
SCAN ScTa2Rh, single point on PBEsol structure; formation enthalpy at 0 K = -6.3 kJ/mol of atoms
1.0
2.884 0.000 0.000
0.000 4.453 0.000
0.000 0.000 5.359
Sc Ta Rh
1 2 1
Direct
0.000 0.000 0.000 Sc
0.500 0.500 0.252 Ta
0.500 0.500 0.748 Ta
0.000 0.000 0.500 Rh


No. 6
SCAN ZnTe2SeI, single point on PBEsol structure; formation energy without anion corrections = 0.9497 eV per atom
1.0
5.776 0.000 0.000
0.000 5.776 0.000
0.000 0.000 5.284
Zn Te Se I
1 2 1 1
Direct
0.000 0.000 0.000 Zn
0.000 0.500 0.500 Te
0.500 0.000 0.500 Te
0.500 0.500 0.000 Se
0.500 0.500 0.500 I


No. 7
SCAN KZr3Zn, single point on PBEsol structure; formation enthalpy at 0 K = 85.6 kJ/mol of atoms
1.0
5.119 0.000 0.000
0.000 5.119 0.000
0.000 0.000 5.119
K Zr Zn
1 3 1
Direct
0.000 0.000 0.000 K
0.000 0.500 0.500 Zr
0.500 0.000 0.500 Zr
0.500 0.500 0.000 Zr
0.500 0.500 0.500 Zn


No. 8
SCAN CrRh2, single point on PBEsol structure; formation enthalpy at 0 K = -5.2 kJ/mol of atoms
1.0
4.779 -1.323 0.000
4.779 1.323 0.000
-1.475 0.000 6.030
Cr Rh
2 4
Direct
0.000 0.000 0.000 Cr
0.669 0.669 0.331 Cr
0.060 0.060 0.605 Rh
0.337 0.337 0.670 Rh
0.394 0.394 0.271 Rh
0.716 0.716 0.951 Rh


No. 9
SCAN CdAgTe, single point on PBEsol structure; formation energy without anion corrections = 0.0679 eV per atom
1.0
-1.995 1.995 4.321
1.995 -1.995 4.321
1.995 1.995 -4.321
Cd Ag Te
1 1 1
Direct
0.000 0.000 0.000 Cd
0.326 0.326 0.000 Ag
0.660 0.660 0.000 Te


No. 10
SCAN CsLa2PtC, single point on PBEsol structure; formation enthalpy at 0 K = 25.9 kJ/mol of atoms
1.0
4.947 0.000 0.000
0.000 4.947 0.000
0.000 0.000 5.747
Cs La Pt C
1 2 1 1
Direct
0.000 0.000 0.000 Cs
0.000 0.500 0.500 La
0.500 0.000 0.500 La
0.500 0.500 0.000 Pt
0.000 0.000 0.500 C


No. 11
SCAN Mg2ZrFe, single point on PBEsol structure; formation enthalpy at 0 K = 22.3 kJ/mol of atoms
1.0
1.461 0.844 9.900
-1.461 0.844 9.900
0.000 -1.687 9.900
Mg Zr Fe
2 1 1
Direct
0.240 0.240 0.240 Mg
0.760 0.760 0.760 Mg
0.000 0.000 0.000 Zr
0.500 0.500 0.500 Fe


No. 12
SCAN LiZn2Pd2, single point on PBEsol structure; formation enthalpy at 0 K = -48.3 kJ/mol of atoms
1.0
7.301 0.000 0.000
0.000 7.301 0.000
0.000 0.000 2.807
Li Zn Pd
2 4 4
Direct
0.000 0.000 0.000 Li
0.500 0.500 0.000 Li
0.158 0.342 0.500 Zn
0.342 0.842 0.500 Zn
0.658 0.158 0.500 Zn
0.842 0.658 0.500 Zn
0.139 0.639 0.000 Pd
0.361 0.139 0.000 Pd
0.639 0.861 0.000 Pd
0.861 0.361 0.000 Pd


No. 13
SCAN PrSiNi, single point on PBEsol structure; formation energy without anion corrections = -0.7152 eV per atom
1.0
-2.049 2.049 6.848
2.049 -2.049 6.848
2.049 2.049 -6.848
Pr Si Ni
2 2 2
Direct
0.000 0.000 0.000 Pr
0.750 0.250 0.500 Pr
0.331 0.831 0.500 Si
0.581 0.581 0.000 Si
0.161 0.661 0.500 Ni
0.411 0.411 0.000 Ni


No. 14
SCAN CsRb2Cd2, single point on PBEsol structure; formation enthalpy at 0 K = 1.1 kJ/mol of atoms
1.0
-2.900 2.900 7.690
2.900 -2.900 7.690
2.900 2.900 -7.690
Cs Rb Cd
1 2 2
Direct
0.000 0.000 0.000 Cs
0.250 0.750 0.500 Rb
0.750 0.250 0.500 Rb
0.408 0.408 0.000 Cd
0.592 0.592 0.000 Cd


No. 15
SCAN CaAsP2O, single point on PBEsol structure; formation energy without anion corrections = -0.2494 eV per atom
1.0
4.929 0.000 0.000
0.000 4.929 0.000
0.000 0.000 3.721
Ca As P O
1 1 2 1
Direct
0.000 0.000 0.000 Ca
0.500 0.500 0.500 As
0.000 0.500 0.500 P
0.500 0.000 0.500 P
0.500 0.500 0.000 O


No. 16
SCAN LiTcPd2C, single point on PBEsol structure; formation enthalpy at 0 K = 100.6 kJ/mol of atoms
1.0
4.824 0.000 0.000
0.000 4.824 0.000
0.000 0.000 3.812
Li Tc Pd C
1 1 2 1
Direct
0.000 0.000 0.000 Li
0.500 0.500 0.500 Tc
0.000 0.500 0.500 Pd
0.500 0.000 0.500 Pd
0.500 0.500 0.000 C


No. 17
SCAN TcAs2, single point on PBEsol structure; formation enthalpy at 0 K = 13.9 kJ/mol of atoms
1.0
1.604 -6.171 0.000
1.604 6.171 0.000
0.000 0.000 4.671
Tc As
2 4
Direct
0.108 0.892 0.750 Tc
0.892 0.108 0.250 Tc
0.230 0.770 0.250 As
0.440 0.560 0.750 As
0.560 0.440 0.250 As
0.770 0.230 0.750 As


No. 18
SCAN ZnAg5, single point on PBEsol structure; formation enthalpy at 0 K = 0.2 kJ/mol of atoms
1.0
2.908 0.000 0.000
0.000 4.612 0.000
-1.434 0.000 7.204
Zn Ag
1 5
Direct
0.000 0.000 0.000 Zn
0.214 0.500 0.434 Ag
0.338 0.000 0.674 Ag
0.544 0.500 0.096 Ag
0.663 0.000 0.325 Ag
0.882 0.500 0.768 Ag


No. 19
SCAN Li3CrFe3O8, single point on PBEsol structure; formation energy without anion corrections = -1.9354 eV per atom
1.0
5.548 0.000 0.000
-2.774 4.805 0.000
0.000 0.000 9.203
Li Cr Fe O
6 2 6 16
Direct
0.168 0.336 0.000 Li
0.168 0.832 0.000 Li
0.336 0.168 0.500 Li
0.664 0.832 0.000 Li
0.832 0.168 0.500 Li
0.832 0.664 0.500 Li
0.333 0.667 0.546 Cr
0.667 0.333 0.046 Cr
0.173 0.346 0.268 Fe
0.173 0.827 0.268 Fe
0.346 0.173 0.768 Fe
0.654 0.827 0.268 Fe
0.827 0.173 0.768 Fe
0.827 0.654 0.768 Fe
0.000 0.000 0.371 O
0.000 0.000 0.871 O
0.031 0.515 0.396 O
0.161 0.321 0.649 O
0.161 0.839 0.649 O
0.321 0.161 0.149 O
0.333 0.667 0.149 O
0.485 0.515 0.396 O
0.485 0.969 0.396 O
0.515 0.031 0.896 O
0.515 0.485 0.896 O
0.667 0.333 0.649 O
0.679 0.839 0.649 O
0.839 0.161 0.149 O
0.839 0.679 0.149 O
0.969 0.485 0.896 O


No. 20
SCAN MgScPt, single point on PBEsol structure; formation enthalpy at 0 K = -96.0 kJ/mol of atoms
1.0
0.000 3.153 3.153
3.153 0.000 3.153
3.153 3.153 0.000
Mg Sc Pt
1 1 1
Direct
0.000 0.000 0.000 Mg
0.500 0.500 0.500 Sc
0.250 0.250 0.250 Pt


No. 21
SCAN LiSiP, single point on PBEsol structure; formation energy without anion corrections = -0.0029 eV per atom
1.0
4.340 0.000 0.000
-2.170 3.759 0.000
0.000 0.000 2.456
Li Si P
1 1 1
Direct
0.000 0.000 0.000 Li
0.667 0.333 0.500 Si
0.333 0.667 0.500 P


No. 22
SCAN LiMnVO4, single point on PBEsol structure; formation energy without anion corrections = -2.4555 eV per atom
1.0
10.372 0.000 0.000
0.000 6.115 0.000
0.000 0.000 4.887
Li Mn V O
4 4 4 16
Direct
0.000 0.000 0.000 Li
0.000 0.500 0.000 Li
0.500 0.000 0.500 Li
0.500 0.500 0.500 Li
0.229 0.250 0.480 Mn
0.271 0.750 0.980 Mn
0.729 0.250 0.020 Mn
0.771 0.750 0.520 Mn
0.090 0.750 0.427 V
0.410 0.250 0.927 V
0.590 0.750 0.073 V
0.910 0.250 0.573 V
0.063 0.250 0.707 O
0.095 0.750 0.782 O
0.165 0.527 0.278 O
0.165 0.973 0.278 O
0.335 0.027 0.778 O
0.335 0.473 0.778 O
0.405 0.250 0.282 O
0.437 0.750 0.207 O
0.563 0.250 0.793 O
0.595 0.750 0.718 O
0.665 0.527 0.222 O
0.665 0.973 0.222 O
0.835 0.027 0.722 O
0.835 0.473 0.722 O
0.905 0.250 0.218 O
0.937 0.750 0.293 O


No. 23
SCAN Ca2CdHg, single point on PBEsol structure; formation enthalpy at 0 K = -45.6 kJ/mol of atoms
1.0
5.725 -1.805 0.000
5.725 1.805 0.000
-1.659 0.000 5.152
Ca Cd Hg
2 1 1
Direct
0.000 0.000 0.000 Ca
0.207 0.207 0.640 Ca
0.454 0.454 0.465 Cd
0.743 0.743 0.161 Hg


No. 24
SCAN Na2TlInTe, single point on PBEsol structure; formation energy without anion corrections = 0.1073 eV per atom
1.0
5.583 0.000 0.000
0.000 5.583 0.000
0.000 0.000 5.967
Na Tl In Te
2 1 1 1
Direct
0.000 0.500 0.000 Na
0.500 0.000 0.000 Na
0.000 0.000 0.000 Tl
0.500 0.500 0.500 In
0.000 0.000 0.500 Te


No. 25
SCAN CsTiSN2, single point on PBEsol structure; formation energy without anion corrections = 2.1177 eV per atom
1.0
4.103 0.000 0.000
0.000 4.103 0.000
0.000 0.000 5.949
Cs Ti S N
1 1 1 2
Direct
0.000 0.000 0.000 Cs
0.500 0.500 0.500 Ti
0.000 0.000 0.500 S
0.000 0.500 0.000 N
0.500 0.000 0.000 N


No. 26
SCAN LiAl2Ag, single point on PBEsol structure; formation enthalpy at 0 K = -15.9 kJ/mol of atoms
1.0
-1.984 1.984 3.952
1.984 -1.984 3.952
1.984 1.984 -3.952
Li Al Ag
1 2 1
Direct
0.000 0.000 0.000 Li
0.250 0.750 0.500 Al
0.500 0.500 0.000 Al
0.750 0.250 0.500 Ag